Arrangement one

! NbTcCl3 (PBE-GGA, optimized geometry); values from VASP
! Fermi-level density of states   8.32 states/eV/cell
&SYSTEM
  ibrav = 0, nat = 5, ntyp = 3
/
ATOMIC_SPECIES
Nb 92.91 Nb.upf
Tc 98.00 Tc.upf
Cl 35.45 Cl.upf
CELL_PARAMETERS angstrom
-2.223 -4.322 0.213
3.916 -1.908 2.165
-1.840 1.161 4.351
ATOMIC_POSITIONS angstrom
Nb -0.074 -2.534 3.365
Tc 0.000 0.000 0.000
Cl 1.958 -0.954 1.083
Cl -0.920 0.581 2.176
Cl -1.112 -2.161 0.106

---

Arrangement two

! NbTcCl3 (PBE-GGA, optimized geometry); values from VASP
! Fermi-level density of states   8.22 states/eV/cell
&SYSTEM
  ibrav = 0, nat = 5, ntyp = 3
/
ATOMIC_SPECIES
Nb 92.91 Nb.upf
Tc 98.00 Tc.upf
Cl 35.45 Cl.upf
CELL_PARAMETERS angstrom
-1.128 -4.137 -2.674
4.795 -1.551 0.377
-1.129 -2.453 4.271
ATOMIC_POSITIONS angstrom
Nb 0.000 0.000 0.000
Tc 1.269 -4.071 0.987
Cl 2.397 -0.776 0.188
Cl -0.565 -1.227 2.136
Cl -0.564 -2.068 -1.337

---

Bottom line: arrangement two, by a margin of 18.3 kJ/mol of atoms.

---

Arrangement one

! Nb2TcCl2 (PBE-GGA, optimized geometry); values from VASP
! Fermi-level density of states   8.67 states/eV/cell
&SYSTEM
  ibrav = 0, nat = 10, ntyp = 3
/
ATOMIC_SPECIES
Nb 92.91 Nb.upf
Tc 98.00 Tc.upf
Cl 35.45 Cl.upf
CELL_PARAMETERS angstrom
7.604 0.000 0.000
0.000 7.604 0.000
0.000 0.000 2.829
ATOMIC_POSITIONS angstrom
Nb 1.382 5.184 1.414
Nb 5.184 6.222 1.414
Nb 6.222 2.420 1.414
Nb 2.420 1.382 1.414
Tc 0.000 0.000 0.000
Tc 3.802 3.802 0.000
Cl 2.847 6.649 0.000
Cl 6.649 4.757 0.000
Cl 4.757 0.955 0.000
Cl 0.955 2.847 0.000

---

Arrangement two

! Nb2TcCl2 (PBE-GGA, optimized geometry); values from VASP
! Fermi-level density of states   3.37 states/eV/cell
&SYSTEM
  ibrav = 0, nat = 5, ntyp = 3
/
ATOMIC_SPECIES
Nb 92.91 Nb.upf
Tc 98.00 Tc.upf
Cl 35.45 Cl.upf
CELL_PARAMETERS angstrom
4.434 0.000 0.000
0.000 4.434 0.000
2.217 2.217 4.642
ATOMIC_POSITIONS angstrom
Nb 4.434 2.217 2.321
Nb 2.217 4.434 2.321
Tc 0.000 0.000 0.000
Cl 2.217 2.217 1.303
Cl 4.434 4.434 3.340

---

Bottom line: arrangement one, by a margin of 11.5 kJ/mol of atoms.

---

Arrangement one

! Nb3TcCl (PBE-GGA, optimized geometry); values from VASP
! Fermi-level density of states   6.48 states/eV/cell
&SYSTEM
  ibrav = 0, nat = 5, ntyp = 3
/
ATOMIC_SPECIES
Nb 92.91 Nb.upf
Tc 98.00 Tc.upf
Cl 35.45 Cl.upf
CELL_PARAMETERS angstrom
4.882 0.000 0.000
0.000 4.882 0.000
0.000 0.000 4.882
ATOMIC_POSITIONS angstrom
Nb 0.000 2.441 0.000
Nb 0.000 0.000 2.441
Nb 2.441 0.000 0.000
Tc 0.000 0.000 0.000
Cl 2.441 2.441 2.441

---

Arrangement two

! Nb3TcCl (PBE-GGA, optimized geometry); values from VASP
! Fermi-level density of states   9.90 states/eV/cell
&SYSTEM
  ibrav = 0, nat = 5, ntyp = 3
/
ATOMIC_SPECIES
Nb 92.91 Nb.upf
Tc 98.00 Tc.upf
Cl 35.45 Cl.upf
CELL_PARAMETERS angstrom
4.510 0.000 0.000
0.000 4.510 0.000
0.000 0.000 4.510
ATOMIC_POSITIONS angstrom
Nb 0.000 2.255 0.000
Nb 0.000 0.000 2.255
Nb 2.255 0.000 0.000
Tc 2.255 2.255 2.255
Cl 0.000 0.000 0.000

---

Bottom line: arrangement two, by a margin of 33.8 kJ/mol of atoms.